Material: AcPmTaO6
Method: DFT, PBE-GGA
State: relaxed

```
data_AcPmTaO6
_cell_length_a 5.255
_cell_length_b 5.255
_cell_length_c 10.645
_cell_angle_alpha 90.00
_cell_angle_beta 90.00
_cell_angle_gamma 90.00
_space_group_name_H-M_alt 'P 42 n m'
_space_group_IT_number 102
loop_
_space_group_symop_operation_xyz
'x,y,z'
'-y+1/2,x+1/2,z+1/2'
'-x,-y,z'
'y+1/2,-x+1/2,z+1/2'
'-x+1/2,y+1/2,z+1/2'
'y,x,z'
'x+1/2,-y+1/2,z+1/2'
'-y,-x,z'
loop_
_atom_site_label
_atom_site_type_symbol
_atom_site_fract_x
_atom_site_fract_y
_atom_site_fract_z
Ac1 Ac 0.000 0.000 0.000
Pm1 Pm 0.000 0.000 0.335
Ta1 Ta 0.000 0.000 0.665
O1 O 0.174 0.174 0.520
O2 O 0.187 0.187 0.802
O3 O 0.230 0.230 0.178
```

## Properties
* volume: 146.99 Å³/f.u.
* energy: -153.6 eV per cell



Material: AcPm2TcO8
Method: DFT, PBE-GGA
State: relaxed

```
data_AcPm2TcO8
_cell_length_a 5.219
_cell_length_b 7.122
_cell_length_c 5.220
_cell_angle_alpha 90.00
_cell_angle_beta 91.06
_cell_angle_gamma 90.00
_space_group_name_H-M_alt 'P 1 2/m 1'
_space_group_IT_number 10
loop_
_space_group_symop_operation_xyz
'x,y,z'
'-x,-y,-z'
'-x,y,-z'
'x,-y,z'
loop_
_atom_site_label
_atom_site_type_symbol
_atom_site_fract_x
_atom_site_fract_y
_atom_site_fract_z
Ac1 Ac 0.000 0.000 0.000
Pm1 Pm 0.500 0.252 0.500
Tc1 Tc 0.000 0.500 0.000
O1 O 0.182 0.305 0.181
O2 O 0.254 0.500 0.745
O3 O 0.318 0.000 0.680
```

## Properties
* volume: 193.96 Å³/f.u.
* energy: -94.2 eV per cell



Material: AcPmTeO2
Method: DFT, PBE-GGA
State: relaxed

```
data_AcPmTeO2
_cell_length_a 4.148
_cell_length_b 4.148
_cell_length_c 13.322
_cell_angle_alpha 90.00
_cell_angle_beta 90.00
_cell_angle_gamma 90.00
_space_group_name_H-M_alt 'I 4 m m'
_space_group_IT_number 107
_space_group_name_Hall 'I 4 -2'
loop_
_atom_site_label
_atom_site_type_symbol
_atom_site_fract_x
_atom_site_fract_y
_atom_site_fract_z
Ac1 Ac 0.000 0.000 0.000
Pm1 Pm 0.000 0.000 0.318
Te1 Te 0.000 0.000 0.663
O1 O 0.000 0.500 0.401
```

## Properties
* volume: 114.60 Å³/f.u.
* energy: -73.1 eV per cell



Material: AcPmTe2O8
Method: DFT, PBE-GGA
State: relaxed

```
data_AcPmTe2O8
_cell_length_a 7.733
_cell_length_b 7.733
_cell_length_c 7.077
_cell_angle_alpha 90.00
_cell_angle_beta 90.00
_cell_angle_gamma 90.00
_space_group_name_H-M_alt 'I -4 m 2'
_space_group_IT_number 119
_space_group_name_Hall 'I -4 -2'
loop_
_atom_site_label
_atom_site_type_symbol
_atom_site_fract_x
_atom_site_fract_y
_atom_site_fract_z
Ac1 Ac 0.000 0.000 0.000
Pm1 Pm 0.000 0.500 0.750
Te1 Te 0.000 0.000 0.500
Te2 Te 0.000 0.500 0.250
O1 O 0.000 0.190 0.690
O2 O 0.000 0.324 0.061
```

## Properties
* volume: 211.59 Å³/f.u.
* energy: -156.0 eV per cell



Material: AcPmTeO6
Method: DFT, PBE-GGA
State: relaxed

```
data_AcPmTeO6
_cell_length_a 5.9247
_cell_length_b 5.9247
_cell_length_c 9.2282
_cell_angle_alpha 90.00
_cell_angle_beta 90.00
_cell_angle_gamma 120.00
_space_group_name_H-M_alt 'P -3 1 c'
_space_group_IT_number 163
_space_group_name_Hall '-P 3 2c'
loop_
_atom_site_label
_atom_site_type_symbol
_atom_site_fract_x
_atom_site_fract_y
_atom_site_fract_z
Ac1 Ac 0.3333 0.6667 0.2500
Pm1 Pm 0.0000 0.0000 0.0000
Te1 Te 0.3333 0.6667 0.7500
O1 O 0.0701 0.3815 0.6302
```

## Properties
* volume: 140.26 Å³/f.u.
* energy: -125.6 eV per cell



Material: AcPmTeO5
Method: DFT, PBE-GGA
State: relaxed

```
data_AcPmTeO5
_cell_length_a 8.200
_cell_length_b 9.713
_cell_length_c 8.183
_cell_angle_alpha 90.00
_cell_angle_beta 116.14
_cell_angle_gamma 90.00
_space_group_name_H-M_alt 'C 1 2/c 1'
_space_group_IT_number 15
loop_
_space_group_symop_operation_xyz
'x,y,z'
'-x,-y,-z'
'-x,y,-z+1/2'
'x,-y,z+1/2'
'x+1/2,y+1/2,z'
'-x+1/2,-y+1/2,-z'
'-x+1/2,y+1/2,-z+1/2'
'x+1/2,-y+1/2,z+1/2'
loop_
_atom_site_label
_atom_site_type_symbol
_atom_site_fract_x
_atom_site_fract_y
_atom_site_fract_z
Ac1 Ac 0.000 0.061 0.250
Pm1 Pm 0.250 0.250 0.000
Te1 Te 0.000 0.462 0.250
O1 O 0.000 0.178 0.750
O2 O 0.033 0.324 0.101
O3 O 0.215 0.014 0.083
```

## Properties
* volume: 146.28 Å³/f.u.
* energy: -225.5 eV per cell



Material: Ac2PmTeO8
Method: DFT, PBE-GGA
State: relaxed

```
data_Ac2PmTeO8
_cell_length_a 4.492
_cell_length_b 7.405
_cell_length_c 5.676
_cell_angle_alpha 90.00
_cell_angle_beta 94.54
_cell_angle_gamma 90.00
_space_group_name_H-M_alt 'P 1 2/m 1'
_space_group_IT_number 10
loop_
_space_group_symop_operation_xyz
'x,y,z'
'-x,-y,-z'
'-x,y,-z'
'x,-y,z'
loop_
_atom_site_label
_atom_site_type_symbol
_atom_site_fract_x
_atom_site_fract_y
_atom_site_fract_z
Ac1 Ac 0.000 0.244 0.000
Pm1 Pm 0.500 0.500 0.500
Te1 Te 0.500 0.000 0.500
O1 O 0.066 0.500 0.252
O2 O 0.101 0.000 0.339
O3 O 0.435 0.200 0.725
```

## Properties
* volume: 188.22 Å³/f.u.
* energy: -84.3 eV per cell



Material: AcPm2TiO6
Method: DFT, PBE-GGA
State: relaxed

```
data_AcPm2TiO6
_cell_length_a 5.498
_cell_length_b 5.498
_cell_length_c 5.651
_cell_angle_alpha 90.00
_cell_angle_beta 90.00
_cell_angle_gamma 90.00
_space_group_name_H-M_alt 'P 4 m m'
_space_group_IT_number 99
loop_
_space_group_symop_operation_xyz
'x,y,z'
'-y,x,z'
'-x,-y,z'
'y,-x,z'
'-x,y,z'
'y,x,z'
'x,-y,z'
'-y,-x,z'
loop_
_atom_site_label
_atom_site_type_symbol
_atom_site_fract_x
_atom_site_fract_y
_atom_site_fract_z
Ac1 Ac 0.000 0.000 0.000
Pm1 Pm 0.000 0.500 0.452
Ti1 Ti 0.500 0.500 0.079
O1 O 0.000 0.000 0.585
O2 O 0.269 0.269 0.226
O3 O 0.500 0.500 0.757
```

## Properties
* volume: 170.86 Å³/f.u.
* energy: -81.5 eV per cell



Material: Ac2PmTmO6
Method: DFT, PBE-GGA
State: relaxed

```
data_Ac2PmTmO6
_cell_length_a 6.062
_cell_length_b 6.248
_cell_length_c 10.615
_cell_angle_alpha 90.00
_cell_angle_beta 124.60
_cell_angle_gamma 90.00
_space_group_name_H-M_alt 'P 1 21/c 1'
_space_group_IT_number 14
loop_
_space_group_symop_operation_xyz
'x,y,z'
'-x,-y,-z'
'-x,y+1/2,-z+1/2'
'x,-y+1/2,z+1/2'
loop_
_atom_site_label
_atom_site_type_symbol
_atom_site_fract_x
_atom_site_fract_y
_atom_site_fract_z
Ac1 Ac 0.235 0.048 0.251
Pm1 Pm 0.500 0.000 0.000
Tm1 Tm 0.000 0.000 0.500
O1 O 0.123 0.204 0.933
O2 O 0.233 0.693 0.936
O3 O 0.364 0.054 0.743
```

## Properties
* volume: 165.47 Å³/f.u.
* energy: -162.7 eV per cell



Material: Ac2PmUO8
Method: DFT, PBE-GGA
State: relaxed

```
data_Ac2PmUO8
_cell_length_a 4.049
_cell_length_b 5.756
_cell_length_c 7.838
_cell_angle_alpha 90.00
_cell_angle_beta 90.00
_cell_angle_gamma 90.00
_space_group_name_H-M_alt 'P m m m'
_space_group_IT_number 47
loop_
_space_group_symop_operation_xyz
'x,y,z'
'-x,-y,-z'
'-x,-y,z'
'x,y,-z'
'x,-y,-z'
'-x,y,z'
'-x,y,-z'
'x,-y,z'
loop_
_atom_site_label
_atom_site_type_symbol
_atom_site_fract_x
_atom_site_fract_y
_atom_site_fract_z
Ac1 Ac 0.000 0.000 0.247
Pm1 Pm 0.500 0.500 0.500
U1 U 0.500 0.500 0.000
O1 O 0.000 0.260 0.500
O2 O 0.000 0.289 0.000
O3 O 0.500 0.275 0.218
```

## Properties
* volume: 182.68 Å³/f.u.
* energy: -102.0 eV per cell